Record 1
Below is a geometry-optimized Tb2GdSn2Pb5 structure, with properties calculated at the GGA-PBE level.

As for the total magnetization: 0.02 Bohr magnetons per cell. As for the energy above the most stable polymorph in this dataset: 0.0103 eV/atom.

It has space group Cmmm (No. 65), with a = 4.652 Å, b = 25.796 Å, c = 4.712 Å, α = 90.00°, β = 90.00° and γ = 90.00°. The asymmetric unit holds Tb at (0.000, 0.188, 0.000), Gd at (0.000, 0.000, 0.000), Sn at (0.000, 0.403, 0.000), Pb at (0.000, 0.098, 0.500), Pb at (0.000, 0.294, 0.500) and Pb at (0.000, 0.500, 0.500).

Record 2
Below is a geometry-optimized GdIrPt structure, with properties calculated at the GGA-PBE level.

Its formation energy is -0.8 eV/f.u. As for the total magnetization: 2.09 Bohr magnetons per cell.

It has space group F-43m (No. 216), with a = 6.432 Å, b = 6.432 Å, c = 6.432 Å, α = 90.00°, β = 90.00° and γ = 90.00°. The asymmetric unit holds Gd at (0.000, 0.000, 0.000), Ir at (0.000, 0.000, 0.500) and Pt at (0.250, 0.250, 0.250).

Record 3
Below is a geometry-optimized NaNdPb structure, with properties calculated at the GGA-PBE level.

As for the total magnetization: 0.00 Bohr magnetons per cell. The value obtained for the total energy is -38.45 eV for the cell shown.

It has space group F-43m (No. 216), with a = 7.452 Å, b = 7.452 Å, c = 7.452 Å, α = 90.00°, β = 90.00° and γ = 90.00°. The asymmetric unit holds Na at (0.000, 0.000, 0.000), Nd at (0.250, 0.250, 0.250) and Pb at (0.000, 0.000, 0.500).

Record 4
Below is a geometry-optimized GdMgZn structure, with properties calculated at the GGA-PBE level.

As for the total magnetization: 0.01 Bohr magnetons per cell. The value obtained for the total energy is -31.97 eV for the cell shown.

It has space group P1 (No. 1), with a = 6.264 Å, b = 6.460 Å, c = 7.955 Å, α = 76.15°, β = 79.68° and γ = 62.52°. The asymmetric unit holds Gd at (0.000, 0.000, 0.000), Gd at (0.116, 0.438, 0.023), Gd at (0.351, 0.671, 0.366), Gd at (0.550, 0.806, 0.720), Mg at (0.082, 0.331, 0.633), Mg at (0.575, 0.291, 0.730), Mg at (0.833, 0.716, 0.350), Mg at (0.867, 0.180, 0.383), Zn at (0.037, 0.807, 0.688), Zn at (0.415, 0.152, 0.345), Zn at (0.539, 0.934, 0.054) and Zn at (0.587, 0.459, 0.055).